## Si3MoO (PBE+U)

Data for crystalline Si3MoO at its relaxed geometry.

a b c (Å): 4.736 4.736 4.736
angles (deg): 90.00 90.00 90.00
Atoms (fractional coordinates):
Mo: 0.000 0.000 0.000
Si: 0.000 0.500 0.000
Si: 0.000 0.000 0.500
Si: 0.500 0.000 0.000
O: 0.500 0.500 0.500

offset from the most stable computed form	851	meV per atom
spin magnetization	1.96	μB/cell
crystal system	cubic
DFT total energy	-4.5504	eV per atom